(1)
DFT (PBE) results for a geometry-optimized LiNb5Ir6 structure.

The value obtained for the formation energy is -487 meV/atom.

abc: 7.467 7.467 7.467
angles: 147.39 121.57 68.54
Fractional coordinates of all 12 atoms:
1 Li 0.000 0.000 0.000
2 Nb 0.177 0.677 0.500
3 Nb 0.355 0.355 0.000
4 Nb 0.500 0.000 0.500
5 Nb 0.645 0.645 0.000
6 Nb 0.823 0.323 0.500
7 Ir 0.067 0.833 0.234
8 Ir 0.219 0.500 0.719
9 Ir 0.401 0.167 0.234
10 Ir 0.599 0.833 0.766
11 Ir 0.781 0.500 0.281
12 Ir 0.933 0.167 0.766

(2)
DFT (PBE) results for a geometry-optimized Na8CdHg6 structure.

The value obtained for the formation energy is -165 meV/atom.

abc: 8.216 8.216 8.216
angles: 65.65 65.65 65.65
Fractional coordinates of all 15 atoms:
1 Na 0.050 0.384 0.718
2 Na 0.166 0.166 0.166
3 Na 0.282 0.950 0.616
4 Na 0.384 0.718 0.050
5 Na 0.616 0.282 0.950
6 Na 0.718 0.050 0.384
7 Na 0.834 0.834 0.834
8 Na 0.950 0.616 0.282
9 Cd 0.500 0.500 0.500
10 Hg 0.119 0.778 0.450
11 Hg 0.222 0.550 0.881
12 Hg 0.450 0.119 0.778
13 Hg 0.550 0.881 0.222
14 Hg 0.778 0.450 0.119
15 Hg 0.881 0.222 0.550

(3)
DFT (PBE) results for a geometry-optimized MgBiPS2 structure.

As for the energy above the most stable polymorph in this dataset: 0 meV per atom. The value obtained for the formation energy without anion corrections is 0.248 eV per atom.

abc: 4.773 4.773 4.886
angles: 90.00 90.00 90.00
Fractional coordinates of all 5 atoms:
1 Mg 0.000 0.000 0.000
2 Bi 0.500 0.500 0.500
3 P 0.000 0.000 0.500
4 S 0.000 0.500 0.000
5 S 0.500 0.000 0.000

Spin magnetization, record by record: 0.0; 0.0; 0.0 μB per cell
Uncorrected energy, record by record: -9.272; -1.050; -3.580 eV per atom
Calculated density, record by record: 14.3; 5.7; 4.9 g/cm³